The following is a PBE calculation of CeScCdRu after structural relaxation, from Alexandria.

Cell: 4.9564 4.9564 4.9564 Å, 60.00 60.00 60.00°
Closest atoms and distances in Å follow each position.
Atoms (fractional coordinates):
Ce 0.0000 0.0000 0.0000  4 Cd 3.04, 4 Ru 3.04
Sc 0.5000 0.5000 0.5000  4 Cd 3.04, 4 Ru 3.04
Cd 0.7500 0.7500 0.7500  4 Ce 3.04, 4 Sc 3.04
Ru 0.2500 0.2500 0.2500  4 Ce 3.04, 4 Sc 3.04

The energy above the most stable polymorph in this dataset comes out at 202 meV/atom. As for the space group: No. 216. The value obtained for the energy relative to the elements is -0.198 eV/atom.